1.
Density functional theory data (PBE-GGA) for a relaxed structure of Rb2BeH.

Properties
As for the relative energy among the computed polymorphs: 0 meV/atom. As for the density of states at the Fermi level: 0.43 states/eV/atom.

Structure (CIF):
```
data_Rb2BeH
_chemical_formula_sum 'Rb8 Be4 H4'
_cell_length_a 8.343
_cell_length_b 8.343
_cell_length_c 9.059
_cell_angle_alpha 90.00
_cell_angle_beta 90.00
_cell_angle_gamma 90.00
_symmetry_space_group_name_H-M 'I -4 2 d'
_symmetry_Int_Tables_number 122
_symmetry_space_group_name_Hall 'I -4 2bw'
loop_
_atom_site_label
_atom_site_type_symbol
_atom_site_fract_x
_atom_site_fract_y
_atom_site_fract_z
Rb1 Rb 0.169 0.250 0.125
Be1 Be 0.000 0.000 0.500
H1 H 0.000 0.000 0.000
```



2.
Density functional theory data (PBE-GGA) for a relaxed structure of RbBeH3.

Properties
The calculation puts the total energy at -15.57 eV/f.u. As for the density of states at the Fermi level: 0.00 states/eV/atom.

Structure (CIF):
```
data_RbBeH3
_chemical_formula_sum 'Rb2 Be2 H6'
_cell_length_a 5.7305
_cell_length_b 5.7305
_cell_length_c 4.1565
_cell_angle_alpha 90.00
_cell_angle_beta 90.00
_cell_angle_gamma 120.00
_symmetry_space_group_name_H-M 'P 63/m m c'
_symmetry_Int_Tables_number 194
_symmetry_space_group_name_Hall '-P 6c 2c'
loop_
_atom_site_label
_atom_site_type_symbol
_atom_site_fract_x
_atom_site_fract_y
_atom_site_fract_z
Rb1 Rb 0.3333 0.6667 0.2500
Be1 Be 0.0000 0.0000 0.0000
H1 H 0.1272 0.2545 0.7500
```



3.
Density functional theory data (PBE-GGA) for a relaxed structure of RbBeH.

Properties
As for the relative energy among the computed polymorphs: 0 meV/atom. As for the density of states at the Fermi level: 0.02 states/eV/atom.

Structure (CIF):
```
data_RbBeH
_chemical_formula_sum 'Rb2 Be2 H2'
_cell_length_a 4.168
_cell_length_b 5.920
_cell_length_c 6.205
_cell_angle_alpha 67.10
_cell_angle_beta 71.95
_cell_angle_gamma 88.36
_symmetry_space_group_name_H-M 'P -1'
_symmetry_Int_Tables_number 2
_symmetry_space_group_name_Hall '-P 1'
loop_
_atom_site_label
_atom_site_type_symbol
_atom_site_fract_x
_atom_site_fract_y
_atom_site_fract_z
Rb1 Rb 0.178 0.183 0.163
Be1 Be 0.254 0.499 0.500
H1 H 0.439 0.596 0.622
```



4.
Density functional theory data (PBE-GGA) for a relaxed structure of RbBe2H.

Properties
As for the relative energy among the computed polymorphs: 1634 meV/atom. As for the density of states at the Fermi level: 0.23 states/eV/atom.

Structure (CIF):
```
data_RbBe2H
_chemical_formula_sum 'Rb4 Be8 H4'
_cell_length_a 7.246
_cell_length_b 7.246
_cell_length_c 7.246
_cell_angle_alpha 90.00
_cell_angle_beta 90.00
_cell_angle_gamma 90.00
_symmetry_space_group_name_H-M 'F m -3 m'
_symmetry_Int_Tables_number 225
_symmetry_space_group_name_Hall '-F 4 2 3'
loop_
_atom_site_label
_atom_site_type_symbol
_atom_site_fract_x
_atom_site_fract_y
_atom_site_fract_z
Rb1 Rb 0.000 0.000 0.000
Be1 Be 0.250 0.250 0.250
H1 H 0.000 0.000 0.500
```